Ba3SrCo2Cu4S4O4 PBE with a Hubbard U relaxed; theoretical density = 5.7 g/cm3; total magnetic moment = 5.56 μB per cell; space group = P4mm; calculated total energy = -93.35 eV for the cell shown; crystal system = tetragonal; Fermi-level density of states = 0.2241 states/eV per atom
1.0
-1.254 0.151 -3.770
-2.779 -2.724 0.815
-12.540 14.210 4.742
Cu O Co S Ba Sr
4 4 2 4 3 1
direct
0.500 0.000 0.753
0.000 0.500 0.242
0.000 0.500 0.753
0.500 0.000 0.242
0.000 0.500 0.498
0.500 0.000 0.009
0.500 0.000 0.498
0.000 0.500 0.009
0.500 0.500 0.498
0.000 0.000 0.009
0.500 0.500 0.312
0.000 0.000 0.824
0.000 0.000 0.171
0.500 0.500 0.683
0.000 0.000 0.597
0.000 0.000 0.399
0.500 0.500 0.908
0.500 0.500 0.095